Entry 1:
YInNi | PBE | relaxed

## Properties
ΔE_f = -383 meV per atom
Spin magnetization = 0.00 Bohr magnetons per cell
Calculated total energy = -0.3952 Ry/atom

a b c (Å): 4.542 4.542 3.581
angles (deg): 90.00 90.00 120.00
Fractional positions:
Y 0.000 0.000 0.000
In 0.333 0.667 0.500
Ni 0.667 0.333 0.500

=====

Entry 2:
YInNi2 | PBE | relaxed

## Properties
ΔE_f = -30 meV per atom
Spin magnetization = 0.00 Bohr magnetons per cell
Calculated total energy = -0.3838 Ry/atom

a b c (Å): 4.665 4.665 4.665
angles (deg): 60.00 60.00 60.00
Fractional positions:
Y 0.000 0.000 0.000
In 0.250 0.250 0.250
Ni 0.500 0.500 0.500
Ni 0.750 0.750 0.750